No. 1
The following is a PBE calculation of crystalline EuEr2Fe at its relaxed geometry, from Alexandria.

Results
E above lowest polymorph = 0.91 eV per formula unit
Space-group type = No. 166
Total moment = 8.4 μB per formula unit
Energy = -26.719 eV/f.u.
Density of states at the Fermi level = 4.25 states/eV/f.u.

Lattice parameters (Å, degrees): 3.618 3.618 10.653 80.22 80.22 60.00
Last column: magnetic moment on the atom in μB.
Sites, in units of the cell vectors:
Fe (0.500, 0.500, 0.500)  1.13
Eu (0.000, 0.000, 0.000)  7.08
Er (0.886, 0.886, 0.341)  -0.17
Er (0.114, 0.114, 0.659)  -0.17

=====

No. 2
The following is a PBE calculation of crystalline ScH6Pd8 at its relaxed geometry, from Alexandria.

Results
E above lowest polymorph = 0.00 eV per formula unit
Space-group type = No. 12
Total moment = 0.0 μB per formula unit
Energy = -72.629 eV/f.u.
Density of states at the Fermi level = 3.16 states/eV/f.u.

Lattice parameters (Å, degrees): 6.445 6.444 7.891 65.35 55.11 35.90
Sites, in units of the cell vectors:
Pd (0.661, 0.662, 0.002)
Pd (0.895, 0.219, 0.324)
Pd (0.565, 0.886, 0.321)
Pd (0.105, 0.781, 0.676)
Pd (0.339, 0.338, 0.998)
Pd (0.774, 0.448, 0.673)
Pd (0.226, 0.552, 0.327)
Pd (0.435, 0.114, 0.679)
H (0.295, 0.921, 0.628)
H (0.902, 0.616, 0.713)
H (0.406, 0.703, 0.298)
H (0.705, 0.079, 0.372)
H (0.098, 0.384, 0.287)
H (0.594, 0.297, 0.702)
Sc (0.000, 0.000, 0.000)

=====

No. 3
The following is a PBE calculation of crystalline Li2LaNdSn2 at its relaxed geometry, from Alexandria.

Results
Space-group type = No. 164
Total moment = 0.0 μB per formula unit
Energy = -25.542 eV/f.u.
Density of states at the Fermi level = 1.71 states/eV/f.u.

Lattice parameters (Å, degrees): 4.806 4.806 7.841 90.00 90.00 120.00
Sites, in units of the cell vectors:
Li (0.333, 0.667, 0.773)
Li (0.667, 0.333, 0.227)
Sn (0.333, 0.667, 0.243)
Sn (0.667, 0.333, 0.757)
La (0.000, 0.000, 0.500)
Nd (0.000, 0.000, 0.000)

=====

No. 4
The following is a PBE calculation of crystalline NdDy2Er9 at its relaxed geometry, from Alexandria.

Results
E above lowest polymorph = 0.23 eV per formula unit
Space-group type = No. 191
Total moment = 0.0 μB per formula unit
Energy = -54.519 eV/f.u.
Density of states at the Fermi level = 16.94 states/eV/f.u.

Lattice parameters (Å, degrees): 3.495 11.141 11.141 120.00 90.00 90.00
Sites, in units of the cell vectors:
Dy (0.000, 0.667, 0.333)
Dy (0.000, 0.333, 0.667)
Er (0.500, 0.178, 0.822)
Er (0.500, 0.822, 0.178)
Er (0.000, 0.500, 0.000)
Er (0.000, 0.500, 0.500)
Er (0.000, 0.000, 0.500)
Er (0.500, 0.822, 0.644)
Er (0.500, 0.644, 0.822)
Er (0.500, 0.356, 0.178)
Er (0.500, 0.178, 0.356)
Nd (0.000, 0.000, 0.000)